(1)
# PrAl3NiAu, relaxed, DFT PBE-GGA
# DFT total energy: -110.94 eV/cell
# DOS at the Fermi energy: 0.505 states/eV per atom
# DFT formation energy: -258 kJ/mol of formula units
data_PrAl3NiAu
_chemical_formula_sum 'Pr4 Al12 Ni4 Au4'
_cell_length_a 6.198
_cell_length_b 12.267
_cell_length_c 6.025
_cell_angle_alpha 90.00
_cell_angle_beta 90.00
_cell_angle_gamma 90.00
_space_group_name_H-M_alt 'C m c m'
_space_group_IT_number 63
_space_group_name_Hall '-C 2c 2'
loop_
_atom_site_label
_atom_site_type_symbol
_atom_site_fract_x
_atom_site_fract_y
_atom_site_fract_z
_atom_site_occupancy
Pr1 Pr 0.000 0.228 0.250 1
Al1 Al 0.000 0.362 0.750 1
Al2 Al 0.217 0.000 0.000 1
Ni1 Ni 0.000 0.444 0.250 1
Au1 Au 0.000 0.150 0.750 1

(2)
# Ca2ZrCd, relaxed, DFT PBE-GGA
# DFT total energy: -13.13 eV/cell
# DOS at the Fermi energy: 1.475 states/eV per atom
# DFT formation energy: 33 kJ/mol of formula units
data_Ca2ZrCd
_chemical_formula_sum 'Ca2 Zr1 Cd1'
_cell_length_a 3.433
_cell_length_b 3.433
_cell_length_c 9.670
_cell_angle_alpha 90.00
_cell_angle_beta 90.00
_cell_angle_gamma 90.00
_space_group_name_H-M_alt 'P 4/m m m'
_space_group_IT_number 123
_space_group_name_Hall '-P 4 2'
loop_
_atom_site_label
_atom_site_type_symbol
_atom_site_fract_x
_atom_site_fract_y
_atom_site_fract_z
_atom_site_occupancy
Ca1 Ca 0.000 0.000 0.240 1
Zr1 Zr 0.500 0.500 0.500 1
Cd1 Cd 0.500 0.500 0.000 1

(3)
# CaNpPt2, relaxed, DFT PBE-GGA
# DFT total energy: -59.45 eV/cell
# ΔE to the lowest computed polymorph: 0 meV/atom
# DOS at the Fermi energy: 2.716 states/eV per atom
# DFT formation energy: -261 kJ/mol of formula units
data_CaNpPt2
_chemical_formula_sum 'Ca2 Np2 Pt4'
_cell_length_a 4.489
_cell_length_b 3.732
_cell_length_c 10.689
_cell_angle_alpha 90.00
_cell_angle_beta 90.00
_cell_angle_gamma 90.00
_space_group_name_H-M_alt 'A m m 2'
_space_group_IT_number 38
loop_
_space_group_symop_operation_xyz
'x,y,z'
'-x,-y,z'
'-x,y,z'
'x,-y,z'
'x,y+1/2,z+1/2'
'-x,-y+1/2,z+1/2'
'-x,y+1/2,z+1/2'
'x,-y+1/2,z+1/2'
loop_
_atom_site_label
_atom_site_type_symbol
_atom_site_fract_x
_atom_site_fract_y
_atom_site_fract_z
_atom_site_occupancy
Ca1 Ca 0.000 0.000 0.000 1
Np1 Np 0.500 0.000 0.275 1
Pt1 Pt 0.000 0.000 0.730 1
Pt2 Pt 0.500 0.000 0.552 1

The highest DFT total energy belongs to which entry?
Ca2ZrCd

Look up the DFT total energy of the second one.
-13.13 eV/cell

Which of these has the lowest DFT formation energy?
CaNpPt2